MnIrSe | GGA-PBE | relaxed

Values from the calculation:
The formation energy from raw total energies comes out at 0.20 eV per atom. As for the energy above the lowest structure with this stoichiometry: 140 meV per atom.

abc: 3.0115 3.0115 10.1569
angles: 90.00 90.00 90.00
Space group I4mm (No. 107)
Unique sites:
Mn (0.0000, 0.0000, 0.0000) [2 per cell]
Ir (0.0000, 0.0000, 0.3407) [2 per cell]
Se (0.0000, 0.0000, 0.6655) [2 per cell]

AcSm2Ho8 | GGA-PBE | relaxed

Values from the calculation:
The value obtained for the energy of formation from the pure elements is 0.135 eV/atom.

abc: 5.5056 8.2256 16.2049
angles: 90.00 90.00 90.00
Space group Immm (No. 71)
Unique sites:
Ac (0.0000, 0.0000, 0.0000) [2 per cell]
Sm (0.0000, 0.0000, 0.3009) [4 per cell]
Ho (0.0000, 0.2029, 0.5000) [4 per cell]
Ho (0.0000, 0.2952, 0.1448) [8 per cell]
Ho (0.0000, 0.5000, 0.3382) [4 per cell]